A plane-wave DFT calculation with PBE was carried out for crystalline CdMoPb2 at its relaxed geometry.

Cell: 3.089 3.089 10.409 Å, 90.00 90.00 90.00°
Site moments in Bohr magnetons follow the coordinates.
Element x y z (fractional)
Pb  0.500  0.500  0.288  0.01
Pb  0.000  0.000  0.945  -0.01
Cd  0.000  0.000  0.537  0.00
Mo  0.500  0.500  0.730  0.41

Summary:
magnetic moment = 0.12 μB per atom
formation energy = 488 meV/atom
DFT total energy = -17.210 eV for the cell shown
calculated volume = 99.3 Å³ per cell
crystal system = tetragonal

=====

A plane-wave DFT calculation with PBE was carried out for crystalline Pm2Zn2Pb at its relaxed geometry.

Cell: 3.672 4.602 7.650 Å, 107.50 90.00 90.00°
Element x y z (fractional)
Zn  0.000  0.794  0.588
Zn  0.000  0.206  0.412
Pm  0.500  0.374  0.748
Pm  0.500  0.626  0.252
Pb  0.000  0.000  0.000

Summary:
magnetic moment = 0.04 μB per atom
formation energy = -427 meV/atom
DFT total energy = -17.894 eV for the cell shown
calculated volume = 123.3 Å³ per cell
crystal system = orthorhombic

=====

A plane-wave DFT calculation with PBE was carried out for crystalline La2YAs at its relaxed geometry.

Cell: 3.904 3.904 8.084 Å, 90.00 90.00 90.01°
Element x y z (fractional)
La  0.000  0.000  0.948
La  0.000  0.000  0.552
Y  0.500  0.500  0.250
As  0.500  0.500  0.750

Summary:
magnetic moment = 0.00 μB per atom
formation energy = -563 meV/atom
DFT total energy = -23.222 eV for the cell shown
calculated volume = 123.2 Å³ per cell
crystal system = tetragonal